[1]
The following is a PBE-GGA calculation of a geometry-optimized AlTcOs2 structure, from Alexandria.

Unit cell a=8.844 b=8.844 c=8.844 alpha=18.01 beta=18.01 gamma=18.01
Sites, in units of the cell vectors:
1 Tc 0.501 0.501 0.501
2 Os 0.249 0.249 0.249
3 Os 0.000 0.000 0.000
4 Al 0.750 0.750 0.750

Computed properties:
Formation energy from the elements, eV/atom: -0.0411
Total energy, eV/atom: -9.183
SG: No. 160

[2]
The following is a PBE-GGA calculation of a geometry-optimized ZrAl3Ni3 structure, from Alexandria.

Unit cell a=7.278 b=7.279 c=4.356 alpha=90.00 beta=90.00 gamma=120.01
Sites, in units of the cell vectors:
1 Al 0.762 0.757 0.250
2 Al 0.243 0.005 0.250
3 Al 0.757 0.995 0.750
4 Al 0.995 0.238 0.250
5 Al 0.005 0.762 0.750
6 Al 0.238 0.243 0.750
7 Ni 0.456 0.382 0.250
8 Ni 0.544 0.618 0.750
9 Ni 0.382 0.926 0.750
10 Ni 0.618 0.074 0.250
11 Ni 0.926 0.544 0.250
12 Ni 0.074 0.456 0.750
13 Zr 0.667 0.333 0.750
14 Zr 0.333 0.667 0.250

Computed properties:
Formation energy from the elements, eV/atom: -0.4468
Total energy, eV/atom: -5.750
SG: No. 176

[3]
The following is a PBE-GGA calculation of a geometry-optimized ReP structure, from Alexandria.

Unit cell a=4.359 b=4.359 c=7.096 alpha=73.67 beta=73.67 gamma=40.04
Sites, in units of the cell vectors:
1 Re 0.325 0.325 0.324
2 Re 0.967 0.967 0.590
3 Re 0.283 0.283 0.930
4 P 0.969 0.969 0.038
5 P 0.666 0.666 0.686
6 P 0.623 0.623 0.264

Computed properties:
Formation energy from the elements, eV/atom: -0.1001
Total energy, eV/atom: -9.029
SG: No. 8

[4]
The following is a PBE-GGA calculation of a geometry-optimized Ag3IO4 structure, from Alexandria.

Unit cell a=4.854 b=4.818 c=10.468 alpha=90.00 beta=90.00 gamma=90.00
Sites, in units of the cell vectors:
1 Ag 0.539 0.232 0.752
2 Ag 0.039 0.768 0.252
3 Ag 0.539 0.232 0.248
4 Ag 0.039 0.768 0.748
5 Ag 0.054 0.222 0.500
6 Ag 0.554 0.778 0.000
7 O 0.547 0.731 0.691
8 O 0.075 0.884 0.000
9 O 0.047 0.269 0.191
10 O 0.575 0.116 0.500
11 O 0.162 0.703 0.500
12 O 0.662 0.297 0.000
13 O 0.547 0.731 0.309
14 O 0.047 0.269 0.809
15 I 0.552 0.724 0.500
16 I 0.052 0.276 0.000

Computed properties:
Total energy, eV/atom: -3.880
ΔE_f (raw), eV/atom: -0.138
SG: No. 31